a:
First-principles (PBE) data for crystalline AcHo2Pu at its relaxed geometry, as listed in the Alexandria database.

Unit cell a=3.656 b=3.656 c=9.971 alpha=90.00 beta=90.00 gamma=90.00
Space group P4/mmm (No. 123)
One atom of each set of equivalent atoms:
Ac  0.000  0.000  0.000 [1 per cell]
Ho  0.500  0.500  0.272 [2 per cell]
Pu  0.000  0.000  0.500 [1 per cell]

=====

b:
First-principles (PBE) data for crystalline AcHo2Pu at its relaxed geometry, as listed in the Alexandria database.

Unit cell a=3.5323 b=3.5323 c=37.5232 alpha=90.00 beta=90.00 gamma=120.00
Space group R-3m (No. 166, hexagonal axes)
One atom of each set of equivalent atoms:
Ac  0.0000  0.0000  0.0000 [3 per cell]
Ho  0.0000  0.0000  0.0939 [6 per cell]
Pu  0.0000  0.0000  0.5000 [3 per cell]

=====

Which structure is the most stable? The one labeled a.

=====

a:
First-principles (PBE) data for crystalline AcHo2Pu at its relaxed geometry, as listed in the Alexandria database.

Unit cell a=3.6364 b=3.6364 c=35.0515 alpha=90.00 beta=90.00 gamma=120.00
Space group R3m (No. 160, hexagonal axes)
One atom of each set of equivalent atoms:
Ac  0.0000  0.0000  0.0000 [3 per cell]
Ho  0.0000  0.0000  0.5775 [3 per cell]
Ho  0.0000  0.0000  0.7545 [3 per cell]
Pu  0.0000  0.0000  0.1655 [3 per cell]

=====

b:
First-principles (PBE) data for crystalline AcHo2Pu at its relaxed geometry, as listed in the Alexandria database.

Unit cell a=5.893 b=5.893 c=3.874 alpha=90.00 beta=90.00 gamma=90.00
Space group P4/mmm (No. 123)
One atom of each set of equivalent atoms:
Ac  0.000  0.000  0.000 [1 per cell]
Ho  0.000  0.500  0.500 [2 per cell]
Pu  0.500  0.500  0.000 [1 per cell]

=====

Which structure is the most stable? The one labeled a.

=====

a:
First-principles (PBE) data for crystalline AcHoPu at its relaxed geometry, as listed in the Alexandria database.

Unit cell a=13.446 b=3.561 c=9.901 alpha=90.00 beta=116.86 gamma=90.00
Space group C2/m (No. 12)
One atom of each set of equivalent atoms:
Ac  0.119  0.000  0.337 [4 per cell]
Ho  0.123  0.500  0.678 [4 per cell]
Pu  0.135  0.000  0.991 [4 per cell]

=====

b:
First-principles (PBE) data for crystalline AcHoPu at its relaxed geometry, as listed in the Alexandria database.

Unit cell a=5.8575 b=5.8575 c=3.4548 alpha=90.00 beta=90.00 gamma=120.00
Space group P3m1 (No. 156)
One atom of each set of equivalent atoms:
Ac  0.0000  0.0000  0.0000 [1 per cell]
Ho  0.3333  0.6667  0.9949 [1 per cell]
Pu  0.6667  0.3333  0.4979 [1 per cell]

=====

c:
First-principles (PBE) data for crystalline AcHoPu at its relaxed geometry, as listed in the Alexandria database.

Unit cell a=3.697 b=3.697 c=15.041 alpha=90.00 beta=90.00 gamma=90.00
Space group I4mm (No. 107)
One atom of each set of equivalent atoms:
Ac  0.000  0.000  0.000 [2 per cell]
Ho  0.000  0.000  0.676 [2 per cell]
Pu  0.000  0.000  0.328 [2 per cell]

=====

Which structure is the most stable? The one labeled c.

=====

a:
First-principles (PBE) data for crystalline Ac2HoPu at its relaxed geometry, as listed in the Alexandria database.

Unit cell a=5.369 b=5.369 c=5.060 alpha=90.00 beta=90.00 gamma=90.00
Space group P4/mmm (No. 123)
One atom of each set of equivalent atoms:
Ac  0.000  0.500  0.000 [2 per cell]
Ho  0.000  0.000  0.500 [1 per cell]
Pu  0.500  0.500  0.500 [1 per cell]

=====

b:
First-principles (PBE) data for crystalline Ac2HoPu at its relaxed geometry, as listed in the Alexandria database.

Unit cell a=3.779 b=3.779 c=10.317 alpha=90.00 beta=90.00 gamma=90.00
Space group P4/mmm (No. 123)
One atom of each set of equivalent atoms:
Ac  0.000  0.000  0.249 [2 per cell]
Ho  0.500  0.500  0.500 [1 per cell]
Pu  0.500  0.500  0.000 [1 per cell]

=====

c:
First-principles (PBE) data for crystalline Ac2HoPu at its relaxed geometry, as listed in the Alexandria database.

Unit cell a=3.6995 b=3.6995 c=38.8101 alpha=90.00 beta=90.00 gamma=120.00
Space group R-3m (No. 166, hexagonal axes)
One atom of each set of equivalent atoms:
Ac  0.0000  0.0000  0.0889 [6 per cell]
Ho  0.0000  0.0000  0.5000 [3 per cell]
Pu  0.0000  0.0000  0.0000 [3 per cell]

=====

Which structure is the most stable? The one labeled b.

=====

a:
First-principles (PBE) data for crystalline AcHoRu at its relaxed geometry, as listed in the Alexandria database.

Unit cell a=4.1965 b=4.1965 c=6.2352 alpha=90.00 beta=90.00 gamma=120.00
Space group P3m1 (No. 156)
One atom of each set of equivalent atoms:
Ac  0.0000  0.0000  0.0000 [1 per cell]
Ho  0.3333  0.6667  0.4682 [1 per cell]
Ru  0.6667  0.3333  0.2595 [1 per cell]

=====

b:
First-principles (PBE) data for crystalline AcHoRu at its relaxed geometry, as listed in the Alexandria database.

Unit cell a=3.544 b=3.544 c=13.621 alpha=90.00 beta=90.00 gamma=90.00
Space group I4mm (No. 107)
One atom of each set of equivalent atoms:
Ac  0.000  0.000  0.000 [2 per cell]
Ho  0.000  0.000  0.252 [2 per cell]
Ru  0.000  0.000  0.641 [2 per cell]

=====

c:
First-principles (PBE) data for crystalline AcHoRu at its relaxed geometry, as listed in the Alexandria database.

Unit cell a=6.789 b=7.065 c=9.882 alpha=90.00 beta=128.10 gamma=90.00
Space group P2_1/c (No. 14)
One atom of each set of equivalent atoms:
Ac  0.161  0.076  0.392 [4 per cell]
Ho  0.373  0.575  0.609 [4 per cell]
Ru  0.336  0.734  0.334 [4 per cell]

=====

Which structure is the most stable? The one labeled c.

=====

a:
First-principles (PBE) data for crystalline AcHoRu at its relaxed geometry, as listed in the Alexandria database.

Unit cell a=8.881 b=15.994 c=7.305 alpha=90.00 beta=90.00 gamma=90.00
Space group Ima2 (No. 46)
One atom of each set of equivalent atoms:
Ac  0.250  0.020  0.000 [4 per cell]
Ac  0.250  0.242  0.098 [4 per cell]
Ac  0.250  0.684  0.709 [4 per cell]
Ho  0.036  0.626  0.223 [8 per cell]
Ho  0.250  0.026  0.474 [4 per cell]
Ru  0.000  0.000  0.242 [4 per cell]
Ru  0.036  0.158  0.374 [8 per cell]

=====

b:
First-principles (PBE) data for crystalline AcHoRu at its relaxed geometry, as listed in the Alexandria database.

Unit cell a=7.042 b=7.042 c=7.042 alpha=90.00 beta=90.00 gamma=90.00
Space group F-43m (No. 216)
One atom of each set of equivalent atoms:
Ac  0.000  0.000  0.000 [4 per cell]
Ho  0.000  0.000  0.500 [4 per cell]
Ru  0.250  0.250  0.750 [4 per cell]

=====

c:
First-principles (PBE) data for crystalline AcHoRu at its relaxed geometry, as listed in the Alexandria database.

Unit cell a=4.772 b=4.772 c=7.231 alpha=90.00 beta=90.00 gamma=90.00
Space group P4/nmm (No. 129, origin choice 2)
One atom of each set of equivalent atoms:
Ac  0.250  0.250  0.125 [2 per cell]
Ho  0.250  0.750  0.500 [2 per cell]
Ru  0.250  0.250  0.731 [2 per cell]

=====

Which structure is the most stable? The one labeled c.

=====

a:
First-principles (PBE) data for crystalline AcHo2Ru at its relaxed geometry, as listed in the Alexandria database.

Unit cell a=3.505 b=3.505 c=9.281 alpha=90.00 beta=90.00 gamma=90.00
Space group P4/mmm (No. 123)
One atom of each set of equivalent atoms:
Ac  0.000  0.000  0.000 [1 per cell]
Ho  0.500  0.500  0.327 [2 per cell]
Ru  0.000  0.000  0.500 [1 per cell]

=====

b:
First-principles (PBE) data for crystalline AcHo2Ru at its relaxed geometry, as listed in the Alexandria database.

Unit cell a=3.7800 b=3.7800 c=32.0838 alpha=90.00 beta=90.00 gamma=120.00
Space group R-3m (No. 166, hexagonal axes)
One atom of each set of equivalent atoms:
Ac  0.0000  0.0000  0.0000 [3 per cell]
Ho  0.0000  0.0000  0.1161 [6 per cell]
Ru  0.0000  0.0000  0.5000 [3 per cell]

=====

Which structure is the most stable? The one labeled a.

=====

a:
First-principles (PBE) data for crystalline AcHoS at its relaxed geometry, as listed in the Alexandria database.

Unit cell a=3.9668 b=3.9668 c=6.8168 alpha=90.00 beta=90.00 gamma=120.00
Space group P3m1 (No. 156)
One atom of each set of equivalent atoms:
Ac  0.0000  0.0000  0.0000 [1 per cell]
Ho  0.6667  0.3333  0.4872 [1 per cell]
S  0.3333  0.6667  0.7073 [1 per cell]

=====

b:
First-principles (PBE) data for crystalline AcHoS at its relaxed geometry, as listed in the Alexandria database.

Unit cell a=3.8491 b=3.8491 c=14.0741 alpha=90.00 beta=90.00 gamma=120.00
Space group P-6m2 (No. 187)
One atom of each set of equivalent atoms:
Ac  0.0000  0.0000  0.2194 [2 per cell]
Ho  0.0000  0.0000  0.5000 [1 per cell]
Ho  0.6667  0.3333  0.0000 [1 per cell]
S  0.6667  0.3333  0.3794 [2 per cell]

=====

Which structure is the most stable? The one labeled a.

=====

a:
First-principles (PBE) data for crystalline Ac2HoS4 at its relaxed geometry, as listed in the Alexandria database.

Unit cell a=13.089 b=4.006 c=8.249 alpha=90.00 beta=120.12 gamma=90.00
Space group C2/m (No. 12)
One atom of each set of equivalent atoms:
Ac  0.151  0.000  0.200 [4 per cell]
Ho  0.000  0.500  0.500 [2 per cell]
S  0.057  0.500  0.865 [4 per cell]
S  0.161  0.000  0.575 [4 per cell]

=====

b:
First-principles (PBE) data for crystalline Ac2HoS4 at its relaxed geometry, as listed in the Alexandria database.

Unit cell a=7.053 b=7.790 c=14.602 alpha=90.00 beta=90.00 gamma=90.00
Space group Pbca (No. 61)
One atom of each set of equivalent atoms:
Ac  0.003  0.098  0.141 [8 per cell]
Ho  0.000  0.000  0.500 [4 per cell]
S  0.121  0.543  0.822 [8 per cell]
S  0.186  0.699  0.541 [8 per cell]

=====

Which structure is the most stable? The one labeled a.

=====

a:
First-principles (PBE) data for crystalline AcHoSb at its relaxed geometry, as listed in the Alexandria database.

Unit cell a=4.083 b=4.083 c=11.979 alpha=90.00 beta=90.00 gamma=90.00
Space group I4mm (No. 107)
One atom of each set of equivalent atoms:
Ac  0.000  0.000  0.000 [2 per cell]
Ho  0.000  0.000  0.708 [2 per cell]
Sb  0.000  0.000  0.316 [2 per cell]

=====

b:
First-principles (PBE) data for crystalline AcHoSb at its relaxed geometry, as listed in the Alexandria database.

Unit cell a=5.2243 b=5.2243 c=4.3663 alpha=90.00 beta=90.00 gamma=120.00
Space group P-6m2 (No. 187)
One atom of each set of equivalent atoms:
Ac  0.0000  0.0000  0.0000 [1 per cell]
Ho  0.3333  0.6667  0.5000 [1 per cell]
Sb  0.6667  0.3333  0.5000 [1 per cell]

=====

Which structure is the most stable? The one labeled a.

=====

a:
First-principles (PBE) data for crystalline Ac2HoSb at its relaxed geometry, as listed in the Alexandria database.

Unit cell a=3.7586 b=3.7586 c=38.2226 alpha=90.00 beta=90.00 gamma=120.00
Space group R-3m (No. 166, hexagonal axes)
One atom of each set of equivalent atoms:
Ac  0.0000  0.0000  0.0870 [6 per cell]
Ho  0.0000  0.0000  0.5000 [3 per cell]
Sb  0.0000  0.0000  0.0000 [3 per cell]

=====

b:
First-principles (PBE) data for crystalline Ac2HoSb at its relaxed geometry, as listed in the Alexandria database.

Unit cell a=5.201 b=5.201 c=4.998 alpha=90.00 beta=90.00 gamma=90.00
Space group P4/mmm (No. 123)
One atom of each set of equivalent atoms:
Ac  0.000  0.500  0.000 [2 per cell]
Ho  0.000  0.000  0.500 [1 per cell]
Sb  0.500  0.500  0.500 [1 per cell]

=====

Which structure is the most stable? The one labeled b.